The following is a GGA-PBE calculation of crystalline YPbBr4 at its relaxed geometry, from Alexandria via LeMat-Bulk.

The calculation puts the formation energy (no corrections) at 0.02 eV per atom. The calculated volume is 29.66 Å³/atom. Its total magnetic moment is 0.5 μB per formula unit.

The space group is F-43m (No. 216) and the conventional cell measures 8.929, 8.929 and 8.929 Å, with angles of 90.00, 90.00 and 90.00 degrees. The asymmetric unit holds Y at (0.000, 0.000, 0.000), Pb at (0.250, 0.250, 0.250) and Br at (0.126, 0.126, 0.626).